1.
VASP calculation (GGA-PBE) on a relaxed ScTeIr2 crystal.

Energy: -27.78 eV per cell
Spin magnetization: 0.00 μB per atom
ΔE_f (raw): -145 meV/atom

Structure (CIF):
```
data_ScTeIr2
_chemical_formula_sum 'Sc1 Te1 Ir2'
_cell_length_a 3.005
_cell_length_b 4.770
_cell_length_c 4.986
_cell_angle_alpha 90.00
_cell_angle_beta 90.87
_cell_angle_gamma 90.00
_symmetry_space_group_name_H-M 'P 1 2/m 1'
_symmetry_Int_Tables_number 10
_symmetry_space_group_name_Hall '-P 2y'
loop_
_atom_site_label
_atom_site_fract_x
_atom_site_fract_y
_atom_site_fract_z
Sc1 0.000 0.000 0.000
Te1 0.500 0.000 0.500
Ir1 0.295 0.500 0.240
```

2.
VASP calculation (GGA-PBE) on a relaxed Sc2TeIr crystal.

Energy: -55.33 eV per cell
Spin magnetization: 0.00 μB per atom
ΔE_f (raw): -750 meV/atom

Structure (CIF):
```
data_Sc2TeIr
_chemical_formula_sum 'Sc4 Te2 Ir2'
_cell_length_a 3.625
_cell_length_b 4.221
_cell_length_c 10.780
_cell_angle_alpha 90.00
_cell_angle_beta 90.00
_cell_angle_gamma 90.00
_symmetry_space_group_name_H-M 'I m m 2'
_symmetry_Int_Tables_number 44
_symmetry_space_group_name_Hall 'I 2 -2'
loop_
_atom_site_label
_atom_site_fract_x
_atom_site_fract_y
_atom_site_fract_z
Sc1 0.000 0.000 0.000
Sc2 0.000 0.500 0.214
Te1 0.000 0.500 0.792
Ir1 0.000 0.000 0.510
```

3.
VASP calculation (GGA-PBE) on a relaxed ScTeIr2 crystal.

Energy: -28.10 eV per cell
Spin magnetization: 0.00 μB per atom
ΔE_f (raw): -225 meV/atom

Structure (CIF):
```
data_ScTeIr2
_chemical_formula_sum 'Sc1 Te1 Ir2'
_cell_length_a 3.249
_cell_length_b 4.064
_cell_length_c 5.533
_cell_angle_alpha 90.00
_cell_angle_beta 90.64
_cell_angle_gamma 90.00
_symmetry_space_group_name_H-M 'P 1 m 1'
_symmetry_Int_Tables_number 6
_symmetry_space_group_name_Hall 'P -2y'
loop_
_atom_site_label
_atom_site_fract_x
_atom_site_fract_y
_atom_site_fract_z
Sc1 0.000 0.000 0.000
Te1 0.505 0.500 0.343
Ir1 0.006 0.000 0.506
Ir2 0.495 0.500 0.827
```